Record 1
# PBE AcTa2, optimized geometry
data_AcTa2
_cell_length_a 9.205
_cell_length_b 9.205
_cell_length_c 9.205
_cell_angle_alpha 60.00
_cell_angle_beta 60.00
_cell_angle_gamma 60.00
_symmetry_space_group_name_H-M 'P 1'
_symmetry_Int_Tables_number 1
_symmetry_space_group_name_Hall 'P 1'
loop_
_atom_site_label
_atom_site_type_symbol
_atom_site_fract_x
_atom_site_fract_y
_atom_site_fract_z
_atom_site_occupancy
Ta1 Ta 0.375 0.875 0.375 1
Ta2 Ta 0.375 0.375 0.875 1
Ta3 Ta 0.375 0.375 0.375 1
Ta4 Ta 0.875 0.375 0.375 1
Ac1 Ac 0.250 0.250 0.250 1
Ac2 Ac 0.500 0.500 0.500 1
# - symmetry = Fd-3m, No. 227
# - total energy (eV/atom) = -4.486



Record 2
# PBE AcTa, optimized geometry
data_AcTa
_cell_length_a 4.508
_cell_length_b 4.508
_cell_length_c 4.508
_cell_angle_alpha 60.00
_cell_angle_beta 60.00
_cell_angle_gamma 60.00
_symmetry_space_group_name_H-M 'P 1'
_symmetry_Int_Tables_number 1
_symmetry_space_group_name_Hall 'P 1'
loop_
_atom_site_label
_atom_site_type_symbol
_atom_site_fract_x
_atom_site_fract_y
_atom_site_fract_z
_atom_site_occupancy
Ta1 Ta 0.500 0.500 0.500 1
Ac1 Ac 0.000 0.000 0.000 1
# - energy relative to the lowest polymorph listed for this composition (meV per atom) = 720
# - symmetry = Fm-3m, No. 225
# - total energy (eV/atom) = -6.214



Record 3
# PBE AcTa, optimized geometry
data_AcTa
_cell_length_a 3.355
_cell_length_b 3.355
_cell_length_c 5.556
_cell_angle_alpha 90.00
_cell_angle_beta 90.00
_cell_angle_gamma 120.00
_symmetry_space_group_name_H-M 'P 1'
_symmetry_Int_Tables_number 1
_symmetry_space_group_name_Hall 'P 1'
loop_
_atom_site_label
_atom_site_type_symbol
_atom_site_fract_x
_atom_site_fract_y
_atom_site_fract_z
_atom_site_occupancy
Ac1 Ac 0.667 0.333 0.750 1
Ta1 Ta 0.333 0.667 0.250 1
# - energy relative to the lowest polymorph listed for this composition (meV per atom) = 0
# - symmetry = P-6m2, No. 187
# - total energy (eV/atom) = -6.934



Record 4
# PBE AcTa, optimized geometry
data_AcTa
_cell_length_a 4.787
_cell_length_b 4.787
_cell_length_c 4.787
_cell_angle_alpha 60.00
_cell_angle_beta 60.00
_cell_angle_gamma 60.00
_symmetry_space_group_name_H-M 'P 1'
_symmetry_Int_Tables_number 1
_symmetry_space_group_name_Hall 'P 1'
loop_
_atom_site_label
_atom_site_type_symbol
_atom_site_fract_x
_atom_site_fract_y
_atom_site_fract_z
_atom_site_occupancy
Ac1 Ac 0.000 0.000 0.000 1
Ta1 Ta 0.250 0.250 0.250 1
# - energy relative to the lowest polymorph listed for this composition (meV per atom) = 1571
# - symmetry = F-43m, No. 216
# - total energy (eV/atom) = -5.363



Record 5
# PBE AcTbTa, optimized geometry
data_AcTbTa
_cell_length_a 5.216
_cell_length_b 5.216
_cell_length_c 5.216
_cell_angle_alpha 60.00
_cell_angle_beta 60.00
_cell_angle_gamma 60.00
_symmetry_space_group_name_H-M 'P 1'
_symmetry_Int_Tables_number 1
_symmetry_space_group_name_Hall 'P 1'
loop_
_atom_site_label
_atom_site_type_symbol
_atom_site_fract_x
_atom_site_fract_y
_atom_site_fract_z
_atom_site_occupancy
Ta1 Ta 0.250 0.250 0.250 1
Tb1 Tb 0.750 0.750 0.750 1
Ac1 Ac 0.000 0.000 0.000 1
# - symmetry = F-43m, No. 216
# - total energy (eV/atom) = -5.362



Record 6
# PBE AcThTa, optimized geometry
data_AcThTa
_cell_length_a 5.190
_cell_length_b 5.190
_cell_length_c 5.190
_cell_angle_alpha 60.00
_cell_angle_beta 60.00
_cell_angle_gamma 60.00
_symmetry_space_group_name_H-M 'P 1'
_symmetry_Int_Tables_number 1
_symmetry_space_group_name_Hall 'P 1'
loop_
_atom_site_label
_atom_site_type_symbol
_atom_site_fract_x
_atom_site_fract_y
_atom_site_fract_z
_atom_site_occupancy
Th1 Th 0.500 0.500 0.500 1
Ta1 Ta 0.250 0.250 0.250 1
Ac1 Ac 0.000 0.000 0.000 1
# - energy relative to the lowest polymorph listed for this composition (meV per atom) = 0
# - symmetry = F-43m, No. 216
# - total energy (eV/atom) = -7.047